Record 1
# MoPbW2

MoPbW2 after structural relaxation (PBE, Alexandria).

Unit cell a=9.375 b=9.375 c=9.375 alpha=18.83 beta=18.83 gamma=18.83
Fractional coordinates of all 4 atoms:
Pb: 0.750 0.750 0.750
Mo: 0.250 0.250 0.250
W: 0.990 0.990 0.990
W: 0.510 0.510 0.510

Calculated values
ΔH_f (0 K), eV per atom: 0.796
Symmetry: R-3m
Crystal system: trigonal

=====

Record 2
# Mo2PbW

Mo2PbW after structural relaxation (PBE, Alexandria).

Unit cell a=9.213 b=9.213 c=9.213 alpha=19.30 beta=19.30 gamma=19.30
Fractional coordinates of all 4 atoms:
Mo: 0.000 0.000 0.000
Pb: 0.501 0.501 0.501
Mo: 0.260 0.260 0.260
W: 0.740 0.740 0.740

Calculated values
ΔH_f (0 K), eV per atom: 0.713
Symmetry: R3m
Crystal system: trigonal

=====

Record 3
# MoPbW2

MoPbW2 after structural relaxation (PBE, Alexandria).

Unit cell a=4.285 b=2.956 c=6.381 alpha=66.38 beta=90.00 gamma=90.00
Fractional coordinates of all 4 atoms:
Mo: 0.000 0.439 0.458
W: 0.500 0.254 0.249
W: 0.000 0.064 0.046
Pb: 0.500 0.743 0.747

Calculated values
ΔH_f (0 K), eV per atom: 0.664
Symmetry: Pm
Crystal system: monoclinic

=====

Record 4
# Mo2PbW

Mo2PbW after structural relaxation (PBE, Alexandria).

Unit cell a=2.910 b=2.910 c=9.198 alpha=90.00 beta=90.00 gamma=110.45
Fractional coordinates of all 4 atoms:
W: 0.500 0.500 0.774
Mo: 0.500 0.500 0.227
Pb: 0.000 0.000 0.498
Mo: 0.000 0.000 0.001

Calculated values
ΔH_f (0 K), eV per atom: 0.602
Symmetry: Cmm2
Crystal system: orthorhombic